The following is a GGA-PBE calculation of a geometry-optimized La2Nd4Tl structure, from the Alexandria database.

Lattice parameters (Å, degrees): 11.1277 6.6714 6.4501 89.98 90.00 90.00
With the nearest neighbours (Å) after each atom.
Atoms (fractional coordinates):
Tl 0.0000 0.0000 0.0000  6 Nd 3.26-3.32
Tl 0.5000 0.5000 0.0000  6 Nd 3.26-3.32
Nd 0.7501 0.7498 0.8913  2 Tl 3.32, 4 Nd 3.34-3.58, 2 La 3.68-3.69
Nd 0.6541 0.5003 0.4298  1 Tl 3.26, 1 La 3.54, 3 Nd 3.55-3.58
Nd 0.8459 0.0003 0.4298  1 Tl 3.26, 1 La 3.54, 3 Nd 3.55-3.58
Nd 0.7499 0.2498 0.8913  2 Tl 3.32, 4 Nd 3.34-3.58, 2 La 3.68-3.69
Nd 0.2501 0.7502 0.1087  2 Tl 3.32, 4 Nd 3.34-3.58, 2 La 3.68-3.69
Nd 0.1541 0.9997 0.5702  1 Tl 3.26, 1 La 3.54, 3 Nd 3.55-3.58
Nd 0.3459 0.4997 0.5702  1 Tl 3.26, 1 La 3.54, 3 Nd 3.55-3.58
Nd 0.2499 0.2502 0.1087  2 Tl 3.32, 4 Nd 3.34-3.58, 2 La 3.68-3.69
La 0.9556 0.5004 0.2567  2 La 3.29-3.46, 2 Nd 3.54-3.68
La 0.0444 0.4996 0.7433  2 La 3.29-3.46, 2 Nd 3.54-3.68
La 0.4556 0.9996 0.7433  2 La 3.29-3.46, 2 Nd 3.54-3.68
La 0.5444 0.0004 0.2567  2 La 3.29-3.46, 2 Nd 3.54-3.68

Values from the calculation:
- Size of the total moment: 0.0 μB/f.u.
- Density of states at the Fermi level: 20.12 states/eV per cell
- Volume: 34.203 A^3/atom
- Energy of formation from the pure elements: -4 kJ/mol of atoms
- Theoretical density: 7.3 Mg/m³